No. 1
## PmScPdRu (PBE)

Data for an optimized crystal structure of PmScPdRu.

Geometry as POSCAR:
```
PmScPdRu
1.0
-0.898 0.716 -4.675
-0.826 -3.756 -2.895
-4.420 -0.766 -1.747
Pd Ru Sc Pm
1 1 1 1
Direct
0.750 0.750 0.750
0.250 0.250 0.250
0.000 0.000 0.000
0.500 0.500 0.500
```

The calculation puts the formation energy from the elements at -562 meV/atom.

No. 2
## PmSi2PdRu (PBE)

Data for an optimized crystal structure of PmSi2PdRu.

Geometry as POSCAR:
```
PmSi2PdRu
1.0
-3.657 0.637 1.782
0.504 -3.409 2.253
3.836 4.136 1.637
Pm Pd Si Ru
1 1 2 1
Direct
0.000 0.000 0.000
0.250 0.750 0.500
0.377 0.377 0.755
0.623 0.623 0.245
0.750 0.250 0.500
```

The energy relative to the elements, uncorrected comes out at -897.4 meV/atom.

No. 3
## PmSi3PdRu (PBE)

Data for an optimized crystal structure of PmSi3PdRu.

Geometry as POSCAR:
```
PmSi3PdRu
1.0
5.694 0.000 0.000
0.000 6.135 0.000
0.000 -3.068 6.675
Pm Pd Si Ru
2 2 6 2
Direct
0.250 0.744 0.489
0.750 0.256 0.511
0.750 0.619 0.237
0.250 0.381 0.763
0.250 0.212 0.425
0.000 0.702 0.000
0.500 0.298 0.000
0.000 0.298 0.000
0.500 0.702 0.000
0.750 0.788 0.575
0.250 0.047 0.095
0.750 0.953 0.905
```

The energy relative to the elements, uncorrected comes out at -445.9 meV/atom.

No. 4
## TbPmPdRu (PBE)

Data for an optimized crystal structure of TbPmPdRu.

Geometry as POSCAR:
```
TbPmPdRu
1.0
-0.875 2.196 -2.537
-0.892 -2.679 -2.011
-6.693 0.301 2.569
Ru Pm Pd Tb
1 1 1 1
Direct
0.500 0.500 0.115
0.000 0.000 0.870
0.500 0.500 0.595
0.000 0.000 0.348
```

The calculation puts the formation energy from the elements at -580 meV/atom. The energy above the most stable polymorph in this dataset comes out at 0 meV/atom.

No. 5
## TbPmPdRu (PBE)

Data for an optimized crystal structure of TbPmPdRu.

Geometry as POSCAR:
```
TbPmPdRu
1.0
4.954 0.000 0.000
2.477 4.290 0.000
2.477 1.430 4.045
Pm Ru Tb Pd
1 1 1 1
Direct
0.000 0.000 0.000
0.750 0.750 0.750
0.500 0.500 0.500
0.250 0.250 0.250
```

The calculation puts the formation energy from the elements at -541 meV/atom. The energy above the most stable polymorph in this dataset comes out at 39 meV/atom.

No. 6
## PmYPdRu (PBE)

Data for an optimized crystal structure of PmYPdRu.

Geometry as POSCAR:
```
PmYPdRu
1.0
-1.833 -0.099 2.947
1.242 -3.173 0.665
5.504 2.892 3.522
Pm Ru Pd Y
1 1 1 1
Direct
0.000 0.000 0.869
0.500 0.500 0.113
0.500 0.500 0.597
0.000 0.000 0.348
```

The calculation puts the formation energy from the elements at -577 meV/atom. The energy above the most stable polymorph in this dataset comes out at 0 meV/atom.

Number 1: DOS(E_F) 2.02 states/eV/cell. Number 2: DOS(E_F) 2.81 states/eV/cell. Number 3: DOS(E_F) 5.34 states/eV/cell. Number 4: DOS(E_F) 1.94 states/eV/cell. Number 5: DOS(E_F) 2.86 states/eV/cell. Number 6: DOS(E_F) 2.34 states/eV/cell.